[1]
Pm4Ho3Th | PBE | relaxed

Computed properties:
* total moment: 0.00 μB/f.u.
* raw total energy: -4.99 eV/atom
* E above lowest polymorph: 0.000 eV/atom
* SG: C2/m (12)

Unit cell a=8.0221 b=8.0221 c=11.9210 alpha=127.09 beta=127.09 gamma=25.90
With the nearest neighbours (Å) after each atom.
Fractional positions:
Pm: 0.1215 0.1215 0.3697  4 Ho 3.55-3.59, 1 Th 3.56, 7 Pm 3.60-3.69
Pm: 0.2514 0.2514 0.7531  5 Ho 3.53-3.63, 2 Th 3.58, 5 Pm 3.60-3.68
Pm: 0.7486 0.7486 0.2469  5 Ho 3.53-3.63, 2 Th 3.58, 5 Pm 3.60-3.68
Pm: 0.8785 0.8785 0.6303  4 Ho 3.55-3.59, 1 Th 3.56, 7 Pm 3.60-3.69
Ho: 0.3767 0.3767 0.1214  5 Pm 3.53-3.63, 2 Th 3.54, 5 Ho 3.60-3.65
Ho: 0.5000 0.5000 0.5000  8 Pm 3.59-3.62, 4 Ho 3.60-3.65
Ho: 0.6233 0.6233 0.8786  5 Pm 3.53-3.63, 2 Th 3.54, 5 Ho 3.60-3.65
Th: 0.0000 0.0000 0.0000  4 Ho 3.54, 6 Pm 3.56-3.58, 2 Th 3.60

***

[2]
TiBe4Ni | PBE | relaxed

Computed properties:
* total moment: 1.94 μB/f.u.
* raw total energy: -5.00 eV/atom
* E above lowest polymorph: 0.000 eV/atom
* SG: F-43m (216)

Unit cell a=4.3551 b=4.3551 c=4.3551 alpha=60.00 beta=60.00 gamma=60.00
With the nearest neighbours (Å) after each atom.
Fractional positions:
Ti: 0.0000 0.0000 0.0000  12 Be 2.55, 4 Ni 2.67
Be: 0.3745 0.3745 0.3745  6 Be 2.17-2.19
Be: 0.3745 0.3745 0.8765  6 Be 2.17-2.19
Be: 0.3745 0.8765 0.3745  6 Be 2.17-2.19
Be: 0.8765 0.3745 0.3745  6 Be 2.17-2.19
Ni: 0.7500 0.7500 0.7500  12 Be 2.55, 4 Ti 2.67

***

[3]
Cd6Hg3Pb | PBE | relaxed

Computed properties:
* total moment: 0.00 μB/f.u.
* raw total energy: -0.96 eV/atom
* E above lowest polymorph: 0.000 eV/atom
* SG: Cmc2_1 (36)

Unit cell a=9.1047 b=9.1047 c=6.6558 alpha=90.00 beta=90.00 gamma=111.11
With the nearest neighbours (Å) after each atom.
Fractional positions:
Cd: 0.0276 0.9724 0.5000  4 Hg 3.01-3.07, 2 Pb 3.24-3.36
Cd: 0.0405 0.4722 0.9320  3 Cd 2.99-3.18, 3 Hg 3.04-3.27, 2 Pb 3.23-3.31
Cd: 0.2561 0.7439 0.6441  6 Cd 3.05-3.18, 2 Hg 3.34, 1 Pb 3.38
Cd: 0.2835 0.4164 0.6735  3 Hg 2.97-3.01, 3 Cd 2.99-3.09
Cd: 0.4164 0.2835 0.1735  3 Hg 2.97-3.01, 3 Cd 2.99-3.09
Cd: 0.4722 0.0405 0.4320  3 Cd 2.99-3.18, 3 Hg 3.04-3.27, 2 Pb 3.23-3.31
Cd: 0.5278 0.9595 0.9320  3 Cd 2.99-3.18, 3 Hg 3.04-3.27, 2 Pb 3.23-3.31
Cd: 0.5836 0.7165 0.6735  3 Hg 2.97-3.01, 3 Cd 2.99-3.09
Cd: 0.7165 0.5836 0.1735  3 Hg 2.97-3.01, 3 Cd 2.99-3.09
Cd: 0.7439 0.2561 0.1441  6 Cd 3.05-3.18, 2 Hg 3.34, 1 Pb 3.38
Cd: 0.9595 0.5278 0.4320  3 Cd 2.99-3.18, 3 Hg 3.04-3.27, 2 Pb 3.23-3.31
Cd: 0.9724 0.0276 0.0000  4 Hg 3.01-3.07, 2 Pb 3.24-3.36
Hg: 0.1057 0.2933 0.2945  6 Cd 2.97-3.09, 1 Hg 3.31
Hg: 0.2933 0.1057 0.7945  6 Cd 2.97-3.09, 1 Hg 3.31
Hg: 0.3960 0.6040 0.1188  4 Cd 3.01-3.27, 1 Pb 3.20, 2 Hg 3.31
Hg: 0.6040 0.3960 0.6188  4 Cd 3.01-3.27, 1 Pb 3.20, 2 Hg 3.31
Hg: 0.7067 0.8943 0.2945  6 Cd 2.97-3.09, 1 Hg 3.31
Hg: 0.8943 0.7067 0.7945  6 Cd 2.97-3.09, 1 Hg 3.31
Pb: 0.1839 0.8161 0.1632  3 Hg 3.20-3.47, 7 Cd 3.23-3.38
Pb: 0.8161 0.1839 0.6632  3 Hg 3.20-3.47, 7 Cd 3.23-3.38

***

[4]
HoTiAl | PBE | relaxed

Computed properties:
* total moment: 1.55 μB/f.u.
* raw total energy: -5.33 eV/atom
* E above lowest polymorph: 0.232 eV/atom
* SG: P3m1 (156)

Unit cell a=4.8822 b=4.8822 c=2.9704 alpha=90.00 beta=90.00 gamma=120.00
With the nearest neighbours (Å) after each atom.
Fractional positions:
Ho: 0.0000 0.0000 0.0000  3 Ti 2.82, 2 Ho 2.97
Ti: 0.3333 0.6667 0.9981  3 Ho 2.82, 2 Ti 2.97
Al: 0.6667 0.3333 0.4999  2 Al 2.97, 6 Ti 3.18-3.19, 6 Ho 3.19

***

[5]
La2PmDyY6 | PBE | relaxed

Computed properties:
* total moment: 0.00 μB/f.u.
* raw total energy: -5.69 eV/atom
* SG: C2/c (15)

Unit cell a=8.7845 b=8.7845 c=9.9948 alpha=95.72 beta=95.72 gamma=117.41
With the nearest neighbours (Å) after each atom.
Fractional positions:
La: 0.1921 0.2849 0.0444  5 Y 3.30-3.61, 2 Pm 3.34-3.39, 1 Dy 3.55
La: 0.2849 0.1921 0.5444  5 Y 3.30-3.61, 2 Pm 3.34-3.39, 1 Dy 3.55
La: 0.7151 0.8079 0.4556  5 Y 3.30-3.61, 2 Pm 3.34-3.39, 1 Dy 3.55
La: 0.8079 0.7151 0.9556  5 Y 3.30-3.61, 2 Pm 3.34-3.39, 1 Dy 3.55
Pm: 0.0131 0.9869 0.2500  4 La 3.34-3.39, 4 Y 3.61-3.62
Pm: 0.9869 0.0131 0.7500  4 La 3.34-3.39, 4 Y 3.61-3.62
Dy: 0.4040 0.5960 0.7500  8 Y 3.46-3.72, 2 La 3.55
Dy: 0.5960 0.4040 0.2500  8 Y 3.46-3.72, 2 La 3.55
Y: 0.0199 0.5781 0.1875  4 Y 3.30-3.68, 1 Dy 3.46, 1 La 3.47, 1 Pm 3.61
Y: 0.1175 0.7346 0.5569  8 Y 3.46-3.85, 1 La 3.61, 1 Pm 3.62, 1 Dy 3.72
Y: 0.2654 0.8825 0.9431  8 Y 3.46-3.85, 1 La 3.61, 1 Pm 3.62, 1 Dy 3.72
Y: 0.3019 0.5108 0.3829  3 La 3.30-3.55, 4 Y 3.30-3.51, 2 Dy 3.46-3.61
Y: 0.4219 0.9801 0.3125  4 Y 3.30-3.68, 1 Dy 3.46, 1 La 3.47, 1 Pm 3.61
Y: 0.4892 0.6981 0.1171  3 La 3.30-3.55, 4 Y 3.30-3.51, 2 Dy 3.46-3.61
Y: 0.5108 0.3019 0.8829  3 La 3.30-3.55, 4 Y 3.30-3.51, 2 Dy 3.46-3.61
Y: 0.5781 0.0199 0.6875  4 Y 3.30-3.68, 1 Dy 3.46, 1 La 3.47, 1 Pm 3.61
Y: 0.6981 0.4892 0.6171  3 La 3.30-3.55, 4 Y 3.30-3.51, 2 Dy 3.46-3.61
Y: 0.7346 0.1175 0.0569  8 Y 3.46-3.85, 1 La 3.61, 1 Pm 3.62, 1 Dy 3.72
Y: 0.8825 0.2654 0.4431  8 Y 3.46-3.85, 1 La 3.61, 1 Pm 3.62, 1 Dy 3.72
Y: 0.9801 0.4219 0.8125  4 Y 3.30-3.68, 1 Dy 3.46, 1 La 3.47, 1 Pm 3.61

***

[6]
CaTcSb2 | PBE | relaxed

Computed properties:
* formation energy (no corrections): -0.233 eV per atom
* total moment: 0.00 μB/f.u.
* raw total energy: -5.39 eV/atom
* E above lowest polymorph: 0.007 eV/atom
* SG: P4/mmm (123)

Unit cell a=3.3523 b=3.3523 c=7.8667 alpha=90.00 beta=90.00 gamma=90.00
With the nearest neighbours (Å) after each atom.
Fractional positions:
Ca: 0.0000 0.0000 0.0000  8 Sb 3.32, 4 Ca 3.35
Tc: 0.0000 0.0000 0.5000  8 Sb 2.87
Sb: 0.5000 0.5000 0.2953  4 Tc 2.87
Sb: 0.5000 0.5000 0.7047  4 Tc 2.87

***

[7]
YBeAl2 | PBE | relaxed

Computed properties:
* total moment: 0.00 μB/f.u.
* raw total energy: -4.46 eV/atom
* SG: Cmmm (65)

Unit cell a=3.1815 b=3.1815 c=7.0511 alpha=90.00 beta=90.00 gamma=91.20
With the nearest neighbours (Å) after each atom.
Fractional positions:
Y: 0.0000 0.0000 0.0000  8 Al 3.13-3.16, 4 Y 3.18
Be: 0.0000 0.0000 0.5000  8 Al 2.59-2.63
Al: 0.5000 0.5000 0.3113  4 Be 2.59-2.63, 1 Al 2.66
Al: 0.5000 0.5000 0.6887  4 Be 2.59-2.63, 1 Al 2.66

***

[8]
Fe2AuCl | PBE | relaxed

Computed properties:
* formation energy (no corrections): 0.717 eV per atom
* total moment: 5.89 μB/f.u.
* raw total energy: -4.80 eV/atom
* E above lowest polymorph: 0.621 eV/atom
* SG: F-43m (216)

Unit cell a=4.4961 b=4.4961 c=4.4961 alpha=60.00 beta=60.00 gamma=60.00
With the nearest neighbours (Å) after each atom.
Fractional positions:
Fe: 0.0000 0.0000 0.0000  4 Cl 2.75, 4 Fe 2.75
Fe: 0.2500 0.2500 0.2500  4 Fe 2.75, 4 Au 2.75
Au: 0.5000 0.5000 0.5000  4 Cl 2.75, 4 Fe 2.75
Cl: 0.7500 0.7500 0.7500  4 Fe 2.75, 4 Au 2.75

***

[9]
NdTh2ScS4 | PBE | relaxed

Computed properties:
* formation energy (no corrections): -1.843 eV per atom
* total moment: 0.00 μB/f.u.
* raw total energy: -7.15 eV/atom
* SG: P2/m (10)

Unit cell a=6.8003 b=3.9546 c=6.9735 alpha=90.00 beta=109.05 gamma=90.00
With the nearest neighbours (Å) after each atom.
Fractional positions:
Nd: 0.0000 0.0000 0.0000  6 S 2.80-2.81
Th: 0.0000 0.5000 0.5000  6 S 2.93
Th: 0.5000 0.0000 0.5000  6 S 2.81-2.82
Sc: 0.5000 0.5000 0.0000  6 S 2.68-2.70
S: 0.2606 0.5000 0.2383  1 Sc 2.68, 2 Nd 2.81, 3 Th 2.82-2.93
S: 0.2701 0.0000 0.7702  2 Sc 2.70, 1 Nd 2.80, 3 Th 2.81-2.93
S: 0.7299 0.0000 0.2298  2 Sc 2.70, 1 Nd 2.80, 3 Th 2.81-2.93
S: 0.7394 0.5000 0.7617  1 Sc 2.68, 2 Nd 2.81, 3 Th 2.82-2.93

***

[10]
NdPuSe2 | PBE | relaxed

Computed properties:
* formation energy (no corrections): -1.702 eV per atom
* total moment: 5.79 μB/f.u.
* raw total energy: -8.22 eV/atom
* E above lowest polymorph: 0.000 eV/atom
* SG: R-3m (166)

Unit cell a=7.2921 b=7.2921 c=7.2921 alpha=33.25 beta=33.25 gamma=33.25
With the nearest neighbours (Å) after each atom.
Fractional positions:
Nd: 0.0000 0.0000 0.0000  6 Se 2.99
Pu: 0.5000 0.5000 0.5000  6 Se 2.93
Se: 0.2474 0.2474 0.2474  3 Pu 2.93, 3 Nd 2.99
Se: 0.7526 0.7526 0.7526  3 Pu 2.93, 3 Nd 2.99

***

[11]
CeZnPtPb | PBE | relaxed

Computed properties:
* total moment: 0.37 μB/f.u.
* raw total energy: -4.75 eV/atom
* SG: F-43m (216)

Unit cell a=4.9749 b=4.9749 c=4.9749 alpha=60.00 beta=60.00 gamma=60.00
With the nearest neighbours (Å) after each atom.
Fractional positions:
Ce: 0.0000 0.0000 0.0000  4 Pt 3.05, 4 Zn 3.05
Zn: 0.2500 0.2500 0.2500  4 Pb 3.05, 4 Ce 3.05
Pt: 0.7500 0.7500 0.7500  4 Ce 3.05, 4 Pb 3.05
Pb: 0.5000 0.5000 0.5000  4 Pt 3.05, 4 Zn 3.05

***

[12]
Dy2TlCl | PBE | relaxed

Computed properties:
* formation energy (no corrections): -0.763 eV per atom
* total moment: 0.00 μB/f.u.
* raw total energy: -4.12 eV/atom
* E above lowest polymorph: 0.000 eV/atom
* SG: R3m (160)

Unit cell a=9.3784 b=9.3784 c=9.3784 alpha=22.09 beta=22.09 gamma=22.09
With the nearest neighbours (Å) after each atom.
Fractional positions:
Dy: 0.0000 0.0000 0.0000  3 Cl 2.96, 3 Tl 3.23
Dy: 0.1528 0.1528 0.1528  3 Cl 2.94, 3 Tl 3.23
Tl: 0.5765 0.5765 0.5765  6 Dy 3.23, 6 Tl 3.59
Cl: 0.7434 0.7434 0.7434  6 Dy 2.94-2.96